Record 1
{
  "formula": "NdCoO3",
  "functional": "GGA+U",
  "state": "optimized geometry",
  "cell": [[5.485, 0.000, 0.000], [0.000, 7.671, 0.000], [0.000, 0.000, 5.348]],
  "species": ["Nd", "Nd", "Nd", "Nd", "Co", "Co", "Co", "Co", "O", "O", "O", "O", "O", "O", "O", "O", "O", "O", "O", "O"],
  "fractional_positions": [[0.052, 0.250, 0.012], [0.448, 0.750, 0.512], [0.552, 0.250, 0.488], [0.948, 0.750, 0.988], [0.000, 0.000, 0.500], [0.000, 0.500, 0.500], [0.500, 0.000, 0.000], [0.500, 0.500, 0.000], [0.011, 0.750, 0.426], [0.207, 0.540, 0.789], [0.207, 0.960, 0.789], [0.293, 0.040, 0.289], [0.293, 0.460, 0.289], [0.489, 0.250, 0.926], [0.511, 0.750, 0.074], [0.707, 0.540, 0.711], [0.707, 0.960, 0.711], [0.793, 0.040, 0.211], [0.793, 0.460, 0.211], [0.989, 0.250, 0.574]],
  "dft_energy_ev_per_atom": -7.1254,
  "volume_a3_per_cell": 225.0,
  "rho_g_cm3": 7.41
}

Record 2
{
  "formula": "NdCoO3",
  "functional": "GGA+U",
  "state": "optimized geometry",
  "cell": [[4.424, 0.000, 0.000], [0.000, 4.424, 0.000], [0.000, 0.000, 4.424]],
  "species": ["Nd", "Co", "O", "O", "O"],
  "fractional_positions": [[0.000, 0.000, 0.000], [0.500, 0.500, 0.500], [0.000, 0.000, 0.500], [0.000, 0.500, 0.000], [0.500, 0.000, 0.000]],
  "dft_energy_ev_per_atom": -5.7411,
  "volume_a3_per_cell": 86.6,
  "rho_g_cm3": 4.82
}

Record 3
{
  "formula": "NdCoO3",
  "functional": "GGA+U",
  "state": "optimized geometry",
  "cell": [[5.530, 0.000, 0.000], [0.000, 8.690, 0.000], [0.000, 0.000, 5.699]],
  "species": ["Nd", "Nd", "Nd", "Nd", "Co", "Co", "Co", "Co", "O", "O", "O", "O", "O", "O", "O", "O", "O", "O", "O", "O"],
  "fractional_positions": [[0.000, 0.000, 0.000], [0.000, 0.500, 0.000], [0.500, 0.000, 0.500], [0.500, 0.500, 0.500], [0.016, 0.250, 0.473], [0.484, 0.750, 0.973], [0.516, 0.250, 0.027], [0.984, 0.750, 0.527], [0.129, 0.089, 0.635], [0.129, 0.411, 0.635], [0.165, 0.250, 0.151], [0.335, 0.750, 0.651], [0.371, 0.589, 0.135], [0.371, 0.911, 0.135], [0.629, 0.089, 0.865], [0.629, 0.411, 0.865], [0.665, 0.250, 0.349], [0.835, 0.750, 0.849], [0.871, 0.589, 0.365], [0.871, 0.911, 0.365]],
  "dft_energy_ev_per_atom": -6.9355,
  "volume_a3_per_cell": 273.9,
  "rho_g_cm3": 6.09
}

Record 4
{
  "formula": "NdCoPO",
  "functional": "GGA+U",
  "state": "optimized geometry",
  "cell": [[4.482, 0.000, 0.000], [0.000, 4.127, 0.000], [0.000, 0.000, 6.913]],
  "species": ["Nd", "Nd", "Co", "Co", "P", "P", "O", "O"],
  "fractional_positions": [[0.000, 0.229, 0.000], [0.000, 0.771, 0.500], [0.500, 0.271, 0.354], [0.500, 0.729, 0.854], [0.500, 0.228, 0.684], [0.500, 0.772, 0.184], [0.000, 0.272, 0.336], [0.000, 0.728, 0.836]],
  "dft_energy_ev_per_atom": -6.4400,
  "volume_a3_per_cell": 127.9,
  "rho_g_cm3": 6.50
}

Record 5
{
  "formula": "NdCoPO",
  "functional": "GGA+U",
  "state": "optimized geometry",
  "cell": [[3.936, 0.000, 0.000], [0.000, 3.936, 0.000], [0.000, 0.000, 8.040]],
  "species": ["Nd", "Nd", "Co", "Co", "P", "P", "O", "O"],
  "fractional_positions": [[0.250, 0.250, 0.152], [0.750, 0.750, 0.848], [0.250, 0.750, 0.500], [0.750, 0.250, 0.500], [0.250, 0.250, 0.625], [0.750, 0.750, 0.375], [0.250, 0.750, 0.000], [0.750, 0.250, 0.000]],
  "dft_energy_ev_per_atom": -6.7611,
  "volume_a3_per_cell": 124.6,
  "rho_g_cm3": 6.67
}

Record 6
{
  "formula": "NdCoPO",
  "functional": "GGA+U",
  "state": "optimized geometry",
  "cell": [[4.368, 0.000, 0.000], [0.000, 4.368, 0.000], [0.000, 0.000, 9.027]],
  "species": ["Nd", "Nd", "Co", "Co", "P", "P", "O", "O"],
  "fractional_positions": [[0.250, 0.750, 0.000], [0.750, 0.250, 0.000], [0.250, 0.250, 0.481], [0.750, 0.750, 0.519], [0.250, 0.250, 0.190], [0.750, 0.750, 0.810], [0.250, 0.750, 0.500], [0.750, 0.250, 0.500]],
  "dft_energy_ev_per_atom": -5.3089,
  "volume_a3_per_cell": 172.3,
  "rho_g_cm3": 4.82
}

Record 7
{
  "formula": "Nd2CoSO6",
  "functional": "GGA+U",
  "state": "optimized geometry",
  "cell": [[5.440, 0.000, 0.000], [0.000, 5.625, 0.000], [-5.407, 0.000, 7.727]],
  "species": ["Nd", "Nd", "Nd", "Nd", "Co", "Co", "S", "S", "O", "O", "O", "O", "O", "O", "O", "O", "O", "O", "O", "O"],
  "fractional_positions": [[0.234, 0.062, 0.249], [0.234, 0.438, 0.749], [0.766, 0.562, 0.251], [0.766, 0.938, 0.751], [0.000, 0.000, 0.500], [0.000, 0.500, 0.000], [0.500, 0.000, 0.000], [0.500, 0.500, 0.500], [0.163, 0.196, 0.953], [0.163, 0.304, 0.453], [0.259, 0.711, 0.951], [0.259, 0.789, 0.451], [0.350, 0.023, 0.758], [0.350, 0.477, 0.258], [0.650, 0.523, 0.742], [0.650, 0.977, 0.242], [0.741, 0.211, 0.549], [0.741, 0.289, 0.049], [0.837, 0.696, 0.547], [0.837, 0.804, 0.047]],
  "dft_energy_ev_per_atom": -6.8129,
  "volume_a3_per_cell": 236.4,
  "rho_g_cm3": 6.68
}

Record 8
{
  "formula": "Nd2ZnCoS2O2",
  "functional": "GGA+U",
  "state": "optimized geometry",
  "cell": [[3.891, 0.000, 0.000], [-1.946, 3.370, 0.000], [0.000, 0.000, 10.781]],
  "species": ["Nd", "Nd", "Zn", "Co", "S", "S", "O", "O"],
  "fractional_positions": [[0.000, 0.000, 0.000], [0.333, 0.667, 0.441], [0.667, 0.333, 0.731], [0.667, 0.333, 0.227], [0.000, 0.000, 0.657], [0.333, 0.667, 0.168], [0.667, 0.333, 0.424], [0.667, 0.333, 0.913]],
  "dft_energy_ev_per_atom": -5.9940,
  "volume_a3_per_cell": 141.4,
  "rho_g_cm3": 5.98
}

Record 9
{
  "formula": "Nd2CoSeO6",
  "functional": "GGA+U",
  "state": "optimized geometry",
  "cell": [[5.477, 0.000, 0.000], [0.000, 5.772, 0.000], [-5.417, 0.000, 7.844]],
  "species": ["Nd", "Nd", "Nd", "Nd", "Co", "Co", "Se", "Se", "O", "O", "O", "O", "O", "O", "O", "O", "O", "O", "O", "O"],
  "fractional_positions": [[0.230, 0.067, 0.249], [0.230, 0.433, 0.749], [0.770, 0.567, 0.251], [0.770, 0.933, 0.751], [0.000, 0.000, 0.500], [0.000, 0.500, 0.000], [0.500, 0.000, 0.000], [0.500, 0.500, 0.500], [0.145, 0.196, 0.948], [0.145, 0.304, 0.448], [0.253, 0.703, 0.944], [0.253, 0.797, 0.444], [0.357, 0.033, 0.752], [0.357, 0.467, 0.252], [0.643, 0.533, 0.748], [0.643, 0.967, 0.248], [0.747, 0.203, 0.556], [0.747, 0.297, 0.056], [0.855, 0.696, 0.552], [0.855, 0.804, 0.052]],
  "dft_energy_ev_per_atom": -6.8451,
  "volume_a3_per_cell": 248.0,
  "rho_g_cm3": 7.00
}

Record 10
{
  "formula": "NdCo3Sn4O12",
  "functional": "GGA+U",
  "state": "optimized geometry",
  "cell": [[-3.902, 3.902, 3.902], [3.902, -3.902, 3.902], [3.902, 3.902, -3.902]],
  "species": ["Nd", "Co", "Co", "Co", "Sn", "Sn", "Sn", "Sn", "O", "O", "O", "O", "O", "O", "O", "O", "O", "O", "O", "O"],
  "fractional_positions": [[0.000, 0.000, 0.000], [0.000, 0.500, 0.500], [0.500, 0.000, 0.500], [0.500, 0.500, 0.000], [0.000, 0.000, 0.500], [0.000, 0.500, 0.000], [0.500, 0.000, 0.000], [0.500, 0.500, 0.500], [0.132, 0.302, 0.830], [0.170, 0.472, 0.302], [0.170, 0.868, 0.698], [0.302, 0.170, 0.472], [0.302, 0.830, 0.132], [0.472, 0.302, 0.170], [0.528, 0.698, 0.830], [0.698, 0.170, 0.868], [0.698, 0.830, 0.528], [0.830, 0.132, 0.302], [0.830, 0.528, 0.698], [0.868, 0.698, 0.170]],
  "dft_energy_ev_per_atom": -6.3497,
  "volume_a3_per_cell": 237.6,
  "rho_g_cm3": 6.90
}

Record 11
{
  "formula": "Nd2TaCoO6",
  "functional": "GGA+U",
  "state": "optimized geometry",
  "cell": [[5.487, 0.000, 0.000], [0.000, 5.896, 0.000], [-5.176, 0.000, 7.822]],
  "species": ["Nd", "Nd", "Nd", "Nd", "Ta", "Ta", "Co", "Co", "O", "O", "O", "O", "O", "O", "O", "O", "O", "O", "O", "O"],
  "fractional_positions": [[0.225, 0.071, 0.248], [0.225, 0.429, 0.748], [0.775, 0.571, 0.252], [0.775, 0.929, 0.752], [0.500, 0.000, 0.000], [0.500, 0.500, 0.500], [0.000, 0.000, 0.500], [0.000, 0.500, 0.000], [0.152, 0.180, 0.949], [0.152, 0.320, 0.449], [0.265, 0.715, 0.939], [0.265, 0.785, 0.439], [0.375, 0.043, 0.758], [0.375, 0.457, 0.258], [0.625, 0.543, 0.742], [0.625, 0.957, 0.242], [0.735, 0.215, 0.561], [0.735, 0.285, 0.061], [0.848, 0.680, 0.551], [0.848, 0.820, 0.051]],
  "dft_energy_ev_per_atom": -8.3786,
  "volume_a3_per_cell": 253.0,
  "rho_g_cm3": 8.19
}

Record 12
{
  "formula": "Nd2CoTeO6",
  "functional": "GGA+U",
  "state": "optimized geometry",
  "cell": [[4.962, -2.821, 0.000], [4.962, 2.821, 0.000], [-3.238, 0.000, 4.748]],
  "species": ["Nd", "Nd", "Co", "Te", "O", "O", "O", "O", "O", "O"],
  "fractional_positions": [[0.246, 0.246, 0.220], [0.754, 0.754, 0.780], [0.500, 0.500, 0.000], [0.000, 0.000, 0.500], [0.182, 0.674, 0.171], [0.252, 0.252, 0.630], [0.326, 0.818, 0.829], [0.674, 0.182, 0.171], [0.748, 0.748, 0.370], [0.818, 0.326, 0.829]],
  "dft_energy_ev_per_atom": -6.8381,
  "volume_a3_per_cell": 132.9,
  "rho_g_cm3": 7.13
}

Repeat the first record exactly.
{
  "formula": "NdCoO3",
  "functional": "GGA+U",
  "state": "optimized geometry",
  "cell": [[5.485, 0.000, 0.000], [0.000, 7.671, 0.000], [0.000, 0.000, 5.348]],
  "species": ["Nd", "Nd", "Nd", "Nd", "Co", "Co", "Co", "Co", "O", "O", "O", "O", "O", "O", "O", "O", "O", "O", "O", "O"],
  "fractional_positions": [[0.052, 0.250, 0.012], [0.448, 0.750, 0.512], [0.552, 0.250, 0.488], [0.948, 0.750, 0.988], [0.000, 0.000, 0.500], [0.000, 0.500, 0.500], [0.500, 0.000, 0.000], [0.500, 0.500, 0.000], [0.011, 0.750, 0.426], [0.207, 0.540, 0.789], [0.207, 0.960, 0.789], [0.293, 0.040, 0.289], [0.293, 0.460, 0.289], [0.489, 0.250, 0.926], [0.511, 0.750, 0.074], [0.707, 0.540, 0.711], [0.707, 0.960, 0.711], [0.793, 0.040, 0.211], [0.793, 0.460, 0.211], [0.989, 0.250, 0.574]],
  "dft_energy_ev_per_atom": -7.1254,
  "volume_a3_per_cell": 225.0,
  "rho_g_cm3": 7.41
}